## KInIrCl (PBE)

Data for a relaxed KInIrCl crystal.

Computed properties:
* E_form (uncorrected): -236 meV per atom
* magnetic moment: 0.00 μB/cell
* polymorph energy (0 for the lowest one): 180.8 meV per atom

a b c (Å): 7.304 4.234 7.772
angles (deg): 90.00 94.51 90.00
Element x y z (fractional)
Cl 0.151 0.000 0.666
Cl 0.151 0.500 0.166
Ir 0.849 0.000 0.753
Ir 0.849 0.500 0.253
In 0.745 0.000 0.068
In 0.745 0.500 0.568
K 0.384 0.500 0.861
K 0.384 0.000 0.361